This record from Alexandria via LeMat-Bulk describes a crystal of CuAg3S2 relaxed with PBEsol. The functional is SCAN.

Computed properties:
- SG: No. 141
- Uncorrected formation energy: -0.092 eV per atom

```
data_CuAg3S2
_symmetry_space_group_name_H-M 'P 1'
_symmetry_Int_Tables_number 1
_cell_length_a 8.442
_cell_length_b 8.442
_cell_length_c 8.442
_cell_angle_alpha 122.40
_cell_angle_beta 122.40
_cell_angle_gamma 85.90
loop_
_symmetry_equiv_pos_as_xyz
'x,y,z'
loop_
_atom_site_label
_atom_site_fract_x
_atom_site_fract_y
_atom_site_fract_z
Cu1 0.021 0.271 0.750
Cu2 0.271 0.021 0.250
Cu3 0.729 0.979 0.750
Cu4 0.979 0.729 0.250
Ag1 0.000 0.500 0.500
Ag2 0.060 0.310 0.121
Ag3 0.060 0.940 0.750
Ag4 0.310 0.060 0.621
Ag5 0.310 0.690 0.250
Ag6 0.500 0.000 0.000
Ag7 0.500 0.500 0.000
Ag8 0.500 0.500 0.500
Ag9 0.690 0.310 0.750
Ag10 0.690 0.940 0.379
Ag11 0.940 0.060 0.250
Ag12 0.940 0.690 0.879
S1 0.230 0.715 0.515
S2 0.285 0.299 0.515
S3 0.285 0.770 0.985
S4 0.299 0.285 0.015
S5 0.701 0.715 0.985
S6 0.715 0.230 0.015
S7 0.715 0.701 0.485
S8 0.770 0.285 0.485
```

***

This record from Alexandria via LeMat-Bulk describes a crystal of La5Sn3 relaxed with PBEsol. The functional is SCAN.

Computed properties:
- SG: No. 193
- ΔE_f: -0.84 eV per atom
- E above lowest polymorph: 0.0 meV per atom

```
data_La5Sn3
_symmetry_space_group_name_H-M 'P 1'
_symmetry_Int_Tables_number 1
_cell_length_a 9.453
_cell_length_b 9.453
_cell_length_c 6.751
_cell_angle_alpha 90.00
_cell_angle_beta 90.00
_cell_angle_gamma 120.00
loop_
_symmetry_equiv_pos_as_xyz
'x,y,z'
loop_
_atom_site_label
_atom_site_fract_x
_atom_site_fract_y
_atom_site_fract_z
La1 0.000 0.251 0.250
La2 0.000 0.749 0.750
La3 0.251 0.000 0.250
La4 0.251 0.251 0.750
La5 0.333 0.667 0.000
La6 0.333 0.667 0.500
La7 0.667 0.333 0.000
La8 0.667 0.333 0.500
La9 0.749 0.000 0.750
La10 0.749 0.749 0.250
Sn1 0.000 0.389 0.750
Sn2 0.000 0.611 0.250
Sn3 0.389 0.000 0.750
Sn4 0.389 0.389 0.250
Sn5 0.611 0.000 0.250
Sn6 0.611 0.611 0.750
```

***

This record from Alexandria via LeMat-Bulk describes a crystal of TcSeS2Cl relaxed with PBEsol. The functional is SCAN.

Computed properties:
- SG: No. 123
- Uncorrected formation energy: 0.290 eV per atom

```
data_TcSeS2Cl
_symmetry_space_group_name_H-M 'P 1'
_symmetry_Int_Tables_number 1
_cell_length_a 4.533
_cell_length_b 4.533
_cell_length_c 4.641
_cell_angle_alpha 90.00
_cell_angle_beta 90.00
_cell_angle_gamma 90.00
loop_
_symmetry_equiv_pos_as_xyz
'x,y,z'
loop_
_atom_site_label
_atom_site_fract_x
_atom_site_fract_y
_atom_site_fract_z
Tc1 0.000 0.000 0.000
Se1 0.500 0.500 0.500
S1 0.000 0.500 0.000
S2 0.500 0.000 0.000
Cl1 0.000 0.000 0.500
```

***

Number 1: calculated volume 409 Å³ per cell. Number 2: calculated volume 523 Å³ per cell. Number 3: calculated volume 95 Å³ per cell.